The following is a DFT calculation (PBE) of a relaxed structure of Sr6AlTl3.

Geometry as CIF:
```
data_Sr6AlTl3
_chemical_formula_sum 'Sr12 Al2 Tl6'
_space_group_name_H-M_alt 'P 1'
_space_group_IT_number 1
_cell_length_a 5.822
_cell_length_b 10.166
_cell_length_c 13.087
_cell_angle_alpha 110.06
_cell_angle_beta 90.00
_cell_angle_gamma 90.00
loop_
_space_group_symop_operation_xyz
'x,y,z'
loop_
_atom_site_label
_atom_site_fract_x
_atom_site_fract_y
_atom_site_fract_z
Sr1 0.250 0.483 0.093
Sr2 0.750 0.517 0.907
Sr3 0.250 0.126 0.159
Sr4 0.750 0.874 0.841
Sr5 0.250 0.652 0.669
Sr6 0.750 0.348 0.331
Sr7 0.250 0.237 0.500
Sr8 0.750 0.763 0.500
Sr9 0.250 0.852 0.331
Sr10 0.750 0.148 0.669
Sr11 0.250 0.120 0.870
Sr12 0.750 0.880 0.130
Al1 0.250 0.945 0.611
Al2 0.750 0.055 0.389
Tl1 0.250 0.539 0.379
Tl2 0.750 0.461 0.621
Tl3 0.250 0.392 0.778
Tl4 0.750 0.608 0.222
Tl5 0.250 0.768 0.968
Tl6 0.750 0.232 0.032
```

Output
As for the symmetry: P2_1/m, No. 11. Its formation energy is -0.27 eV/atom.